--- w ---
Material: Tm2SnTe4
Method: DFT, PBE
State: relaxed

Summary:
- Spin magnetization: 0.0 μB per cell

abc: 6.5937 6.5937 14.0638
angles: 90.00 90.00 90.00
Last column: nearest neighbours and their distance in Å.
Space group I-42m (No. 121)
Unique sites:
Tm 0.0000 0.5000 0.2500 (multiplicity 4)  4 Te 2.93
Sn 0.0000 0.0000 0.0000 (multiplicity 2)  4 Te 3.10
Te 0.2264 0.2264 0.6248 (multiplicity 8)  2 Tm 2.93, 1 Sn 3.10

--- x ---
Material: Tm2SnTe4
Method: DFT, PBE
State: relaxed

Summary:
- Spin magnetization: 0.0 μB per cell

abc: 16.5664 4.3707 7.5623
angles: 90.00 115.34 90.00
Last column: nearest neighbours and their distance in Å.
Space group C2/m (No. 12)
Unique sites:
Tm 0.2398 0.0000 0.2230 (multiplicity 4)  6 Te 3.01-3.14
Sn 0.0000 0.5000 0.5000 (multiplicity 2)  6 Te 3.20-3.23
Te 0.1268 0.5000 0.9602 (multiplicity 4)  3 Tm 3.01-3.07, 1 Sn 3.20
Te 0.1404 0.0000 0.4848 (multiplicity 4)  3 Tm 3.07-3.14, 2 Sn 3.23

Stability check: which of them is least stable? w.